First-principles (PBE) data for crystalline ZnInO2 at its relaxed geometry, as listed in Alexandria via LeMat-Bulk.

The structure in CIF format:
```
data_ZnInO2
_chemical_formula_sum 'Zn3 In3 O6'
_cell_length_a 3.3113
_cell_length_b 3.3113
_cell_length_c 18.4415
_cell_angle_alpha 90.00
_cell_angle_beta 90.00
_cell_angle_gamma 120.00
_space_group_name_H-M_alt 'R -3 m'
_space_group_IT_number 166
_space_group_name_Hall '-R 3 2"'
loop_
_atom_site_label
_atom_site_fract_x
_atom_site_fract_y
_atom_site_fract_z
Zn1 0.0000 0.0000 0.0000
In1 0.0000 0.0000 0.5000
O1 0.0000 0.0000 0.1069
```

Its offset from the most stable computed form is 0.100 eV/atom. The uncorrected formation energy comes out at -1103.6 meV/atom.